Compound: K2NaSnF
Source: Alexandria via LeMat-Bulk
Functional: PBE-GGA
Structure: optimized geometry

Lattice parameters (Å, degrees): 5.538 5.538 4.813 90.00 90.00 90.00
Fractional coordinates of all 5 atoms:
Na 0.000 0.000 0.500
K 0.000 0.500 0.000
K 0.500 0.000 0.000
Sn 0.500 0.500 0.500
F 0.000 0.000 0.000

Output
Spin magnetization   0.0001 μB per atom
Formation energy without anion corrections   -5.16 eV/f.u.

Compound: KNaSn2F6
Source: Alexandria via LeMat-Bulk
Functional: PBE-GGA
Structure: optimized geometry

Lattice parameters (Å, degrees): 6.617 6.617 6.355 89.81 121.53 120.24
Fractional coordinates of all 10 atoms:
K 0.068 0.534 0.589
Na 0.027 0.013 0.025
Sn 0.593 0.796 0.376
Sn 0.603 0.301 0.891
F 0.538 0.888 0.653
F 0.502 0.156 0.154
F 0.824 0.665 0.152
F 0.012 0.345 0.155
F 0.778 0.648 0.653
F 0.021 0.131 0.655

Output
Spin magnetization   0.0000 μB per atom
Formation energy without anion corrections   -24.88 eV/f.u.

Compound: K2NaSnF8
Source: Alexandria via LeMat-Bulk
Functional: PBE-GGA
Structure: optimized geometry

Lattice parameters (Å, degrees): 5.204 5.563 7.277 89.99 90.00 92.61
Fractional coordinates of all 12 atoms:
K 0.500 0.500 0.755
K 0.500 0.500 0.245
Na 0.000 0.000 0.500
Sn 0.000 0.000 0.000
F 0.108 0.784 0.206
F 0.666 0.808 0.000
F 0.892 0.216 0.206
F 0.892 0.216 0.794
F 0.334 0.192 0.000
F 0.108 0.784 0.794
F 0.585 0.844 0.500
F 0.415 0.156 0.500

Output
Spin magnetization   0.0958 μB per atom
Formation energy without anion corrections   -29.77 eV/f.u.

Compound: KNa2SnF
Source: Alexandria via LeMat-Bulk
Functional: PBE-GGA
Structure: optimized geometry

Lattice parameters (Å, degrees): 4.973 4.973 5.256 90.00 90.00 90.00
Fractional coordinates of all 5 atoms:
Na 0.000 0.500 0.000
Na 0.500 0.000 0.000
K 0.000 0.000 0.500
Sn 0.500 0.500 0.500
F 0.000 0.000 0.000

Output
Spin magnetization   0.0139 μB per atom
Formation energy without anion corrections   -5.09 eV/f.u.